The following is a GGA-PBE calculation of a relaxed ScAl2Zn crystal, from Alexandria.

The total energy comes out at -3.829 eV/atom. The energy relative to the elements comes out at -0.056 eV/atom.

Geometry as extended XYZ:
```
4
Lattice="1.5267 0.8814 9.1288 -1.5267 0.8814 9.1288 0.0000 -1.7629 9.1288" Properties=species:S:1:pos:R:3 pbc="T T T"
Sc 0.0000 0.0000 0.0000
Al 0.0000 0.0000 6.7194
Al 0.0000 0.0000 13.5795
Zn 0.0000 0.0000 20.6049
```